Computed, not measured: an optimized crystal structure of Cs2Zn3CoF12 at the PBE+U level of DFT.

The value obtained for the total energy is -4.1076 eV/atom. For the volume, the calculation gives 857.0 Å³ per cell.

Unit cell a=7.3338 b=7.3338 c=18.3985 alpha=90.00 beta=90.00 gamma=120.00
Space group R-3m (No. 166, hexagonal axes)
Inequivalent atoms, fractional coordinates:
1 Cs 0.0000 0.0000 0.1247 (multiplicity 6)
2 Zn 0.0000 0.5000 0.0000 (multiplicity 9)
3 Co 0.0000 0.0000 0.5000 (multiplicity 3)
4 F 0.0728 0.5364 0.3606 (multiplicity 18)
5 F 0.0927 0.5464 0.1108 (multiplicity 18)